No. 1
{"formula": "Lu2CdIn", "functional": "PBE", "state": "relaxed", "lattice_angstrom": [[5.157, 0.000, 0.000], [-2.579, 4.466, 0.000], [0.000, 0.000, 9.874]], "species": ["Lu", "Lu", "Lu", "Lu", "Cd", "Cd", "In", "In"], "fractional_positions": [[0.333, 0.667, 0.083], [0.333, 0.667, 0.417], [0.667, 0.333, 0.583], [0.667, 0.333, 0.917], [0.333, 0.667, 0.750], [0.667, 0.333, 0.250], [0.000, 0.000, 0.000], [0.000, 0.000, 0.500]], "rho_g_cm3": 8.43, "space_group": "P6_3/mmc (194)", "energy_ev_per_atom": -3.1906, "total_magnetization_mub_per_fu": 0.0}

No. 2
{"formula": "Lu2CdIn", "functional": "PBE", "state": "relaxed", "lattice_angstrom": [[0.000, 3.715, 3.715], [3.715, 0.000, 3.715], [3.715, 3.715, 0.000]], "species": ["Lu", "Lu", "Cd", "In"], "fractional_positions": [[0.000, 0.000, 0.000], [0.250, 0.250, 0.250], [0.750, 0.750, 0.750], [0.500, 0.500, 0.500]], "rho_g_cm3": 9.34, "space_group": "F-43m (216)", "energy_ev_per_atom": -3.1856, "total_magnetization_mub_per_fu": 0.0}

No. 3
{"formula": "Lu2CdIn", "functional": "PBE", "state": "relaxed", "lattice_angstrom": [[5.133, 0.000, 0.000], [-2.567, 4.446, 0.000], [0.000, 0.000, 9.839]], "species": ["Lu", "Lu", "Lu", "Lu", "Cd", "Cd", "In", "In"], "fractional_positions": [[0.333, 0.667, 0.085], [0.333, 0.667, 0.415], [0.667, 0.333, 0.585], [0.667, 0.333, 0.915], [0.000, 0.000, 0.000], [0.000, 0.000, 0.500], [0.333, 0.667, 0.750], [0.667, 0.333, 0.250]], "rho_g_cm3": 8.54, "space_group": "P6_3/mmc (194)", "energy_ev_per_atom": -3.2208, "total_magnetization_mub_per_fu": 0.0}

No. 4
{"formula": "LuCdIn2", "functional": "PBE", "state": "relaxed", "lattice_angstrom": [[0.000, 3.133, 3.133], [3.133, 0.000, 3.133], [3.133, 3.133, 0.000]], "species": ["Lu", "Cd", "In", "In"], "fractional_positions": [[0.000, 0.000, 0.000], [0.250, 0.250, 0.250], [0.500, 0.500, 0.500], [0.750, 0.750, 0.750]], "rho_g_cm3": 13.96, "space_group": "F-43m (216)", "energy_ev_per_atom": -1.3623, "total_magnetization_mub_per_fu": 0.0}

No. 5
{"formula": "LuCd2In", "functional": "PBE", "state": "relaxed", "lattice_angstrom": [[0.000, 3.595, 3.595], [3.595, 0.000, 3.595], [3.595, 3.595, 0.000]], "species": ["Lu", "Cd", "Cd", "In"], "fractional_positions": [[0.000, 0.000, 0.000], [0.250, 0.250, 0.250], [0.500, 0.500, 0.500], [0.750, 0.750, 0.750]], "rho_g_cm3": 9.20, "space_group": "F-43m (216)", "energy_ev_per_atom": -2.4463, "total_magnetization_mub_per_fu": 0.0}

No. 6
{"formula": "LuCdInO3", "functional": "PBE", "state": "relaxed", "lattice_angstrom": [[1.590, -8.713, 0.000], [1.590, 8.713, 0.000], [0.000, 0.000, 6.880]], "species": ["Lu", "Lu", "Cd", "Cd", "In", "In", "O", "O", "O", "O", "O", "O"], "fractional_positions": [[0.000, 0.000, 0.000], [0.000, 0.000, 0.500], [0.376, 0.624, 0.750], [0.624, 0.376, 0.250], [0.323, 0.677, 0.250], [0.677, 0.323, 0.750], [0.117, 0.883, 0.551], [0.117, 0.883, 0.949], [0.256, 0.744, 0.750], [0.744, 0.256, 0.250], [0.883, 0.117, 0.051], [0.883, 0.117, 0.449]], "rho_g_cm3": 7.85, "space_group": "Cmcm (63)", "energy_ev_per_atom": -5.1629, "total_magnetization_mub_per_fu": 0.0}

No. 7
{"formula": "MgCdIn2", "functional": "PBE", "state": "relaxed", "lattice_angstrom": [[0.000, 3.661, 3.661], [3.661, 0.000, 3.661], [3.661, 3.661, 0.000]], "species": ["Mg", "Cd", "In", "In"], "fractional_positions": [[0.000, 0.000, 0.000], [0.250, 0.250, 0.250], [0.500, 0.500, 0.500], [0.750, 0.750, 0.750]], "rho_g_cm3": 6.20, "space_group": "F-43m (216)", "energy_ev_per_atom": -1.9632}

No. 8
{"formula": "MgCdIn", "functional": "PBE", "state": "relaxed", "lattice_angstrom": [[0.000, 3.376, 3.376], [3.376, 0.000, 3.376], [3.376, 3.376, 0.000]], "species": ["Mg", "Cd", "In"], "fractional_positions": [[0.000, 0.000, 0.000], [0.750, 0.750, 0.750], [0.500, 0.500, 0.500]], "rho_g_cm3": 5.43, "space_group": "F-43m (216)", "energy_ev_per_atom": -1.7356}